# 1
Entry from Alexandria via LeMat-Bulk: an optimized crystal structure of CsBAs2W (PBE-GGA).

```
5
Lattice="4.638 0.000 0.000 0.000 4.638 0.000 0.000 0.000 4.928" Properties=species:S:1:pos:R:3 pbc="T T T"
Cs 0.000 0.000 0.000
B 0.000 0.000 2.464
As 0.000 2.319 2.464
As 2.319 0.000 2.464
W 2.319 2.319 0.000
```

Output
Theoretical density, g/cm³: 7.48
Total magnetic moment, μB/f.u.: 3.2
E_form, kcal/mol of atoms: 42.03
SG: P4/mmm (123)

# 2
Entry from Alexandria via LeMat-Bulk: an optimized crystal structure of CuBAs2 (PBE-GGA).

```
16
Lattice="5.337 0.000 0.000 0.000 5.337 0.000 0.000 0.000 9.426" Properties=species:S:1:pos:R:3 pbc="T T T"
Cu 0.000 0.000 0.000
Cu 0.000 2.669 2.357
Cu 2.669 0.000 7.070
Cu 2.669 2.669 4.713
B 0.000 0.000 4.713
B 0.000 2.669 7.070
B 2.669 0.000 2.357
B 2.669 2.669 0.000
As 1.098 1.334 5.891
As 1.334 3.767 8.248
As 1.334 4.239 3.535
As 1.571 1.334 1.178
As 3.767 4.003 1.178
As 4.003 1.098 3.535
As 4.003 1.571 8.248
As 4.239 4.003 5.891
```

Output
Theoretical density, g/cm³: 5.55
Total magnetic moment, μB/f.u.: 0.0
E_form, kcal/mol of atoms: 4.26
SG: I-42d (122)

# 3
Entry from Alexandria via LeMat-Bulk: an optimized crystal structure of Cu2BAs (PBE-GGA).

```
16
Lattice="5.880 0.000 0.000 0.000 5.880 0.000 0.000 0.000 5.880" Properties=species:S:1:pos:R:3 pbc="T T T"
Cu 1.470 1.470 1.470
Cu 1.470 1.470 4.410
Cu 1.470 4.410 1.470
Cu 1.470 4.410 4.410
Cu 4.410 1.470 1.470
Cu 4.410 1.470 4.410
Cu 4.410 4.410 1.470
Cu 4.410 4.410 4.410
B 0.000 0.000 0.000
B 0.000 2.940 2.940
B 2.940 0.000 2.940
B 2.940 2.940 0.000
As 0.000 0.000 2.940
As 0.000 2.940 0.000
As 2.940 0.000 0.000
As 2.940 2.940 2.940
```

Output
Theoretical density, g/cm³: 6.95
Distance to the lowest polymorph of the same formula, meV/atom: 243
Total magnetic moment, μB/f.u.: 0.0
E_form, kcal/mol of atoms: 18.14
SG: Fm-3m (225)

# 4
Entry from Alexandria via LeMat-Bulk: an optimized crystal structure of Cu2BAs (PBE-GGA).

```
16
Lattice="3.815 0.000 0.000 0.000 3.815 0.000 0.000 0.000 14.597" Properties=species:S:1:pos:R:3 pbc="T T T"
Cu 0.747 0.954 1.825
Cu 0.954 2.654 5.474
Cu 0.954 3.068 12.773
Cu 1.161 0.954 9.123
Cu 2.654 2.861 9.123
Cu 2.861 0.747 12.773
Cu 2.861 1.161 5.474
Cu 3.068 2.861 1.825
B 0.000 0.000 0.000
B 0.000 1.907 3.649
B 1.907 0.000 10.948
B 1.907 1.907 7.299
As 0.000 0.000 7.299
As 0.000 1.907 10.948
As 1.907 0.000 3.649
As 1.907 1.907 0.000
```

Output
Theoretical density, g/cm³: 6.65
Distance to the lowest polymorph of the same formula, meV/atom: 0
Total magnetic moment, μB/f.u.: 0.0
E_form, kcal/mol of atoms: 12.53
SG: I-42d (122)

# 5
Entry from Alexandria via LeMat-Bulk: an optimized crystal structure of Cu3BAs (PBE-GGA).

```
5
Lattice="4.026 0.000 0.000 0.000 4.026 0.000 0.000 0.000 4.026" Properties=species:S:1:pos:R:3 pbc="T T T"
Cu 0.000 0.000 2.013
Cu 0.000 2.013 0.000
Cu 2.013 0.000 0.000
B 0.000 0.000 0.000
As 2.013 2.013 2.013
```

Output
Theoretical density, g/cm³: 7.03
Distance to the lowest polymorph of the same formula, meV/atom: 0
Total magnetic moment, μB/f.u.: 0.0
E_form, kcal/mol of atoms: 8.78
SG: Pm-3m (221)

# 6
Entry from Alexandria via LeMat-Bulk: an optimized crystal structure of Cu3BAs (PBE-GGA).

```
5
Lattice="4.495 0.000 0.000 0.000 4.495 0.000 0.000 0.000 4.495" Properties=species:S:1:pos:R:3 pbc="T T T"
Cu 0.000 0.000 2.248
Cu 0.000 2.248 0.000
Cu 2.248 0.000 0.000
B 2.248 2.248 2.248
As 0.000 0.000 0.000
```

Output
Theoretical density, g/cm³: 5.05
Distance to the lowest polymorph of the same formula, meV/atom: 831
Total magnetic moment, μB/f.u.: 0.0
E_form, kcal/mol of atoms: 27.95
SG: Pm-3m (221)

# 7
Entry from Alexandria via LeMat-Bulk: an optimized crystal structure of HfCuB2As (PBE-GGA).

```
5
Lattice="4.394 0.000 0.000 0.000 4.394 0.000 0.000 0.000 4.928" Properties=species:S:1:pos:R:3 pbc="T T T"
Hf 0.000 0.000 0.000
Cu 0.000 0.000 2.464
B 0.000 2.197 0.000
B 2.197 0.000 0.000
As 2.197 2.197 2.464
```

Output
Theoretical density, g/cm³: 5.91
Total magnetic moment, μB/f.u.: 0.0
E_form, kcal/mol of atoms: 38.57
SG: P4/mmm (123)

# 8
Entry from Alexandria via LeMat-Bulk: an optimized crystal structure of InCuB2As (PBE-GGA).

```
5
Lattice="3.902 0.000 0.000 0.000 3.902 0.000 0.000 0.000 5.535" Properties=species:S:1:pos:R:3 pbc="T T T"
In 0.000 0.000 0.000
Cu 1.951 1.951 2.767
B 0.000 1.951 2.767
B 1.951 0.000 2.767
As 1.951 1.951 0.000
```

Output
Theoretical density, g/cm³: 5.42
Total magnetic moment, μB/f.u.: 0.0
E_form, kcal/mol of atoms: 24.56
SG: P4/mmm (123)

# 9
Entry from Alexandria via LeMat-Bulk: an optimized crystal structure of LiCuB2As (PBE-GGA).

```
5
Lattice="3.785 0.000 0.000 0.000 3.785 0.000 0.000 0.000 4.566" Properties=species:S:1:pos:R:3 pbc="T T T"
Li 0.000 0.000 0.000
Cu 1.893 1.893 2.283
B 0.000 1.893 0.000
B 1.893 0.000 0.000
As 0.000 0.000 2.283
```

Output
Theoretical density, g/cm³: 4.24
Total magnetic moment, μB/f.u.: 0.0
E_form, kcal/mol of atoms: 36.02
SG: P4/mmm (123)

# 10
Entry from Alexandria via LeMat-Bulk: an optimized crystal structure of Li2CuBAs (PBE-GGA).

```
5
Lattice="4.270 0.000 0.000 0.000 4.270 0.000 0.000 0.000 3.836" Properties=species:S:1:pos:R:3 pbc="T T T"
Li 0.000 2.135 0.000
Li 2.135 0.000 0.000
Cu 0.000 0.000 1.918
B 0.000 0.000 0.000
As 2.135 2.135 1.918
```

Output
Theoretical density, g/cm³: 3.87
Total magnetic moment, μB/f.u.: 0.0
E_form, kcal/mol of atoms: 5.60
SG: P4/mmm (123)

# 11
Entry from Alexandria via LeMat-Bulk: an optimized crystal structure of Mg2CuBAs (PBE-GGA).

```
5
Lattice="4.972 0.000 0.000 0.000 4.972 0.000 0.000 0.000 4.458" Properties=species:S:1:pos:R:3 pbc="T T T"
Mg 0.000 2.486 0.000
Mg 2.486 0.000 0.000
Cu 0.000 0.000 2.229
B 2.486 2.486 2.229
As 0.000 0.000 0.000
```

Output
Theoretical density, g/cm³: 2.98
Total magnetic moment, μB/f.u.: 0.0
E_form, kcal/mol of atoms: 20.98
SG: P4/mmm (123)

# 12
Entry from Alexandria via LeMat-Bulk: an optimized crystal structure of Na3CuBAsO7 (PBE-GGA).

```
26
Lattice="5.269 0.000 0.000 0.000 6.905 0.000 -0.298 0.000 9.051" Properties=species:S:1:pos:R:3 pbc="T T T"
Na 1.220 1.726 0.711
Na 1.096 3.470 6.758
Na 1.096 6.887 6.758
Na 3.875 0.018 2.293
Na 3.875 3.435 2.293
Na 3.752 5.178 8.340
Cu 1.051 5.178 3.005
Cu 3.920 1.726 6.046
B 1.430 5.178 0.593
B 3.542 1.726 8.458
As 1.378 1.726 3.827
As 3.593 5.178 5.224
O 0.172 5.178 1.192
O 0.523 1.726 5.308
O 1.021 0.402 2.775
O 1.021 3.050 2.775
O 1.339 5.178 8.314
O 1.895 5.178 4.843
O 2.445 5.178 1.549
O 2.527 1.726 7.503
O 3.077 1.726 4.209
O 3.633 1.726 0.737
O 3.950 3.854 6.277
O 3.950 6.503 6.277
O 4.449 5.178 3.743
O 4.800 1.726 7.859
```

Output
Formation energy (no corrections), eV/atom: -1.553
Theoretical density, g/cm³: 3.33
Total magnetic moment, μB/f.u.: 1.3
SG: P2_1/m (11)

# 13
Entry from Alexandria via LeMat-Bulk: an optimized crystal structure of NbCu2BAs (PBE-GGA).

```
5
Lattice="3.854 0.000 0.000 0.000 3.854 0.000 0.000 0.000 4.748" Properties=species:S:1:pos:R:3 pbc="T T T"
Nb 0.000 0.000 0.000
Cu 0.000 1.927 2.374
Cu 1.927 0.000 2.374
B 1.927 1.927 2.374
As 1.927 1.927 0.000
```

Output
Theoretical density, g/cm³: 7.20
Total magnetic moment, μB/f.u.: 0.0
E_form, kcal/mol of atoms: 10.26
SG: P4/mmm (123)

# 14
Entry from Alexandria via LeMat-Bulk: an optimized crystal structure of CuNiB2As (PBE-GGA).

```
5
Lattice="3.697 0.000 0.000 0.000 3.697 0.000 0.000 0.000 5.076" Properties=species:S:1:pos:R:3 pbc="T T T"
Cu 0.000 0.000 0.000
Ni 1.849 1.849 2.538
B 0.000 1.849 2.538
B 1.849 0.000 2.538
As 1.849 1.849 0.000
```

Output
Theoretical density, g/cm³: 5.23
Total magnetic moment, μB/f.u.: 0.0
E_form, kcal/mol of atoms: 18.96
SG: P4/mmm (123)

# 15
Entry from Alexandria via LeMat-Bulk: an optimized crystal structure of CuBAs2Pt (PBE-GGA).

```
5
Lattice="4.524 0.000 0.000 0.000 4.524 0.000 0.000 0.000 4.781" Properties=species:S:1:pos:R:3 pbc="T T T"
Cu 0.000 0.000 0.000
B 2.262 2.262 2.391
As 0.000 2.262 0.000
As 2.262 0.000 0.000
Pt 0.000 0.000 2.391
```

Output
Theoretical density, g/cm³: 7.12
Total magnetic moment, μB/f.u.: 0.0
E_form, kcal/mol of atoms: 33.37
SG: P4/mmm (123)

# 16
Entry from Alexandria via LeMat-Bulk: an optimized crystal structure of CuBAsSe2 (PBE-GGA).

```
5
Lattice="4.658 0.000 0.000 0.000 4.658 0.000 0.000 0.000 4.083" Properties=species:S:1:pos:R:3 pbc="T T T"
Cu 0.000 0.000 0.000
B 2.329 2.329 2.042
As 2.329 2.329 0.000
Se 0.000 2.329 2.042
Se 2.329 0.000 2.042
```

Output
Formation energy (no corrections), eV/atom: 0.847
Theoretical density, g/cm³: 5.76
Distance to the lowest polymorph of the same formula, meV/atom: 0
Total magnetic moment, μB/f.u.: 0.0
SG: P4/mmm (123)

# 17
Entry from Alexandria via LeMat-Bulk: an optimized crystal structure of CuBAsSe2 (PBE-GGA).

```
5
Lattice="4.910 0.000 0.000 0.000 4.910 0.000 0.000 0.000 4.496" Properties=species:S:1:pos:R:3 pbc="T T T"
Cu 0.000 0.000 0.000
B 2.455 2.455 2.248
As 0.000 0.000 2.248
Se 0.000 2.455 0.000
Se 2.455 0.000 0.000
```

Output
Formation energy (no corrections), eV/atom: 1.313
Theoretical density, g/cm³: 4.71
Distance to the lowest polymorph of the same formula, meV/atom: 467
Total magnetic moment, μB/f.u.: 0.0
SG: P4/mmm (123)

# 18
Entry from Alexandria via LeMat-Bulk: an optimized crystal structure of DyBAs (PBE-GGA).

```
12
Lattice="9.838 0.000 0.000 0.000 3.497 0.000 -4.156 0.000 6.293" Properties=species:S:1:pos:R:3 pbc="T T T"
Dy 0.000 0.000 0.000
Dy -2.078 1.749 3.147
Dy 2.841 0.000 3.147
Dy 4.919 1.749 0.000
B 0.148 0.000 3.369
B 0.615 1.749 2.924
B 5.066 1.749 3.369
B 5.534 0.000 2.924
As -1.153 0.000 5.127
As 1.915 1.749 1.166
As 3.766 1.749 5.127
As 6.834 0.000 1.166
```

Output
Theoretical density, g/cm³: 7.61
Total magnetic moment, μB/f.u.: 0.0
E_form, kcal/mol of atoms: -11.34
SG: C2/m (12)

# 19
Entry from Alexandria via LeMat-Bulk: an optimized crystal structure of Dy2BAsRh6 (PBE-GGA).

```
10
Lattice="4.431 0.000 0.000 0.000 4.431 0.000 0.000 0.000 8.686" Properties=species:S:1:pos:R:3 pbc="T T T"
Dy 0.000 0.000 2.040
Dy 0.000 0.000 6.646
B 2.216 2.216 0.000
As 2.216 2.216 4.343
Rh 0.000 2.216 0.000
Rh 0.000 2.216 4.343
Rh 2.216 0.000 0.000
Rh 2.216 0.000 4.343
Rh 2.216 2.216 2.003
Rh 2.216 2.216 6.683
```

Output
Theoretical density, g/cm³: 10.01
Total magnetic moment, μB/f.u.: 0.0
E_form, kcal/mol of atoms: -13.08
SG: P4/mmm (123)

# 20
Entry from Alexandria via LeMat-Bulk: an optimized crystal structure of DyBAsRh3 (PBE-GGA).

```
12
Lattice="2.858 -5.986 0.000 2.858 5.986 0.000 0.000 0.000 5.747" Properties=species:S:1:pos:R:3 pbc="T T T"
Dy 2.858 3.109 4.310
Dy 2.858 -3.109 1.437
B 2.858 0.035 1.437
B 2.858 -0.035 4.310
As 2.858 4.460 1.437
As 2.858 -4.460 4.310
Rh 1.399 0.000 0.000
Rh 1.399 0.000 2.873
Rh 2.858 2.129 1.437
Rh 2.858 -2.129 4.310
Rh 4.317 0.000 0.000
Rh 4.317 0.000 2.873
```

Output
Theoretical density, g/cm³: 9.41
Total magnetic moment, μB/f.u.: 0.0
E_form, kcal/mol of atoms: -15.27
SG: Cmcm (63)

We obtain N(E_F) values of 2.89; 2.14; 3.48; 6.68; 2.28; 2.95; 3.27; 1.70; 1.92; 2.37; 3.42; 7.43; 3.40; 1.65; 2.79; 2.90; 2.71; 3.06; 1.31; 4.17 states/eV per cell for the records listed above, in that order.